Record 1
Ag2BiPbBr8 after structural relaxation, computed with PBE.

Cell lengths 7.204, 6.866, 8.421 Å; angles 90.00, 89.99, 96.10 degrees
Fractional positions:
Br 0.343 0.291 0.500
Br 0.833 0.226 0.239
Br 0.167 0.774 0.761
Ag 0.500 0.500 0.251
Br 0.338 0.287 0.000
Bi 0.000 0.000 0.000
Br 0.167 0.774 0.239
Br 0.657 0.709 0.500
Br 0.662 0.713 0.000
Br 0.833 0.226 0.761
Pb 0.000 0.000 0.500
Ag 0.500 0.500 0.749

Values from the calculation:
Size of the total moment = 0.000 μB per formula unit
Total DFT energy (no corrections) = -2.780 eV per atom

Record 2
Ac5Pm2PrNd after structural relaxation, computed with PBE.

Cell lengths 6.008, 11.401, 11.272 Å; angles 90.00, 90.00, 105.28 degrees
Fractional positions:
Nd 0.808 0.617 0.514
Ac 0.514 0.027 0.246
Ac 0.276 0.551 0.321
Pm 0.886 0.773 0.801
Pm 0.114 0.227 0.301
Pr 0.406 0.812 0.463
Ac 0.625 0.250 0.520
Ac 0.702 0.404 0.204
Ac 0.990 0.980 0.512
Pr 0.594 0.188 0.963
Pm 0.116 0.232 0.743
Ac 0.298 0.596 0.704
Nd 0.192 0.383 0.014
Ac 0.010 0.020 0.012
Ac 0.486 0.973 0.746
Ac 0.724 0.449 0.821
Ac 0.375 0.750 0.020
Pm 0.884 0.768 0.243

Values from the calculation:
E_form = 0.141 eV/atom
Size of the total moment = 0.000 μB per formula unit
Total DFT energy (no corrections) = -4.258 eV per atom

Record 3
MgSb4O9 after structural relaxation, computed with PBE.

Cell lengths 8.427, 8.427, 5.250 Å; angles 90.00, 90.00, 90.00 degrees
Fractional positions:
O 0.907 0.276 0.926
Sb 0.295 0.639 0.738
O 0.671 0.138 0.593
O 0.829 0.362 0.407
O 0.776 0.593 0.926
O 0.276 0.093 0.074
Sb 0.705 0.361 0.738
O 0.138 0.329 0.407
Sb 0.361 0.295 0.262
Sb 0.139 0.205 0.738
O 0.093 0.724 0.926
O 0.638 0.829 0.593
O 0.407 0.776 0.074
O 0.593 0.224 0.074
O 0.224 0.407 0.926
O 0.724 0.907 0.074
O 0.171 0.638 0.407
O 0.362 0.171 0.593
Mg 0.500 0.000 0.773
O 0.862 0.671 0.407
Sb 0.205 0.861 0.262
Sb 0.639 0.705 0.262
O 0.000 0.000 0.500
Sb 0.795 0.139 0.262
O 0.329 0.862 0.593
O 0.500 0.500 0.500
Sb 0.861 0.795 0.738
Mg 0.000 0.500 0.227

Values from the calculation:
Size of the total moment = 0.000 μB per formula unit
Total DFT energy (no corrections) = -5.802 eV per atom

Record 4
SmGd2As after structural relaxation, computed with PBE.

Cell lengths 3.879, 3.879, 9.872 Å; angles 78.67, 78.67, 60.00 degrees
Fractional positions:
Sm 0.500 0.500 0.500
Gd 0.272 0.272 0.185
Gd 0.728 0.728 0.815
As 0.000 0.000 0.000

Values from the calculation:
E_form = -0.601 eV/atom
Size of the total moment = 14.262 μB per formula unit
Total DFT energy (no corrections) = -9.984 eV per atom

Look up the size of the total moment of the fourth one.
14.262 μB per formula unit

Look up the size of the total moment of the second one.
0.000 μB per formula unit